Computed, not measured: a relaxed KNi2Pb crystal at the GGA-PBE level of DFT.

POSCAR file:
```
KNi2Pb
1.0
3.9973 0.0000 0.0000
0.0000 3.9982 0.0342
0.0000 1.9380 6.2566
Ni Pb K
2 1 1
Cartesian
1.9987 0.7358 1.6298
0.0000 0.7424 0.5466
0.0000 2.7286 2.2618
1.9987 4.6976 4.9979
```

Calculated values
Space-group type: Pm (6)
DOS at the Fermi energy, states/eV/cell: 3.56
Density, Mg/m³: 6.06
Formation energy, eV per atom: 0.356
Size of the total moment, μB/atom: 0.065
V, Å³ per cell: 100